Entry from Alexandria via LeMat-Bulk: crystalline Hg3Ge at its relaxed geometry (GGA-PBE).

Cell lengths 3.025, 3.410, 9.566 Å; angles 90.00, 90.00, 90.00 degrees
Fractional coordinates of all 4 atoms:
Hg 0.000 0.000 0.000
Hg 0.000 0.500 0.274
Hg 0.500 0.500 0.743
Ge 0.500 0.000 0.494

Its formation enthalpy at 0 K is 181 meV/atom. The value obtained for the density of states at the Fermi level is 0.404 states/eV/atom. For the offset from the most stable computed form, the calculation gives 0.000 eV/atom. The value obtained for the magnetization is 0.0 Bohr magnetons per cell. The value obtained for the total energy is -4.80 eV per cell.